Record 1
! PBE ErHgPt, relaxed; values from VASP
&SYSTEM
  ibrav = 0, nat = 12, ntyp = 3
/
ATOMIC_SPECIES
Er 167.26 Er.upf
Hg 200.59 Hg.upf
Pt 195.08 Pt.upf
ATOMIC_POSITIONS crystal
Er 0.865 0.339 0.138
Er 0.365 0.661 0.362
Er 0.135 0.661 0.862
Er 0.635 0.339 0.638
Hg 0.913 0.939 0.289
Hg 0.413 0.061 0.211
Hg 0.087 0.061 0.711
Hg 0.587 0.939 0.789
Pt 0.148 0.345 0.496
Pt 0.648 0.655 0.004
Pt 0.852 0.655 0.504
Pt 0.352 0.345 0.996
CELL_PARAMETERS angstrom
5.487 0.000 0.000
0.000 6.713 -2.152
0.000 -0.012 7.239
! * energy of formation: -0.80 eV/atom
! * calculated total energy: -53.2 eV/cell
! * DOS(E_F): 0.452 states/eV per atom

***

Record 2
! PBE LiNdDyEr, relaxed; values from VASP
&SYSTEM
  ibrav = 0, nat = 4, ntyp = 4
/
ATOMIC_SPECIES
Dy 162.50 Dy.upf
Nd 144.24 Nd.upf
Li 6.94 Li.upf
Er 167.26 Er.upf
ATOMIC_POSITIONS crystal
Dy 0.500 0.500 0.500
Nd 0.000 0.000 0.000
Li 0.250 0.250 0.250
Er 0.750 0.750 0.750
CELL_PARAMETERS angstrom
5.516 0.000 0.000
2.758 4.777 0.000
2.758 1.592 4.504
! * energy of formation: 0.16 eV/atom
! * calculated total energy: -15.2 eV/cell
! * DOS(E_F): 0.948 states/eV per atom

***

Record 3
! PBE BaSr2CaBr8, relaxed; values from VASP
&SYSTEM
  ibrav = 0, nat = 12, ntyp = 4
/
ATOMIC_SPECIES
Ba 137.33 Ba.upf
Sr 87.62 Sr.upf
Ca 40.08 Ca.upf
Br 79.90 Br.upf
ATOMIC_POSITIONS crystal
Ba 0.000 0.000 0.500
Sr 0.500 0.500 0.759
Sr 0.500 0.500 0.241
Ca 0.000 0.000 0.000
Br 0.172 0.780 0.227
Br 0.685 0.726 0.000
Br 0.828 0.220 0.227
Br 0.828 0.220 0.773
Br 0.315 0.274 0.000
Br 0.172 0.780 0.773
Br 0.653 0.716 0.500
Br 0.347 0.284 0.500
CELL_PARAMETERS angstrom
-5.539 1.207 -4.464
-4.344 -3.420 4.414
-1.833 8.085 4.460
! * calculated total energy: -45.8 eV/cell
! * DOS(E_F): 0.000 states/eV per atom
! * formation energy from raw total energies: -202.2 kJ per mole of atoms